(1)
# GGA-PBEsol GaSeI2, relaxed
# - Space group: Fm-3m, No. 225
# - Formation energy (no corrections): 297 meV/atom
# - Electronic total energy: -2.384 eV per atom
# - N(E_F): 4.97 states/eV/f.u.
data_GaSeI2
_chemical_formula_sum 'Ga4 Se4 I8'
_cell_length_a 7.513
_cell_length_b 7.513
_cell_length_c 7.513
_cell_angle_alpha 90.00
_cell_angle_beta 90.00
_cell_angle_gamma 90.00
_symmetry_space_group_name_H-M 'P 1'
_symmetry_Int_Tables_number 1
loop_
_symmetry_equiv_pos_as_xyz
'x,y,z'
loop_
_atom_site_label
_atom_site_type_symbol
_atom_site_fract_x
_atom_site_fract_y
_atom_site_fract_z
Ga1 Ga 0.000 0.000 0.000
Ga2 Ga 0.000 0.500 0.500
Ga3 Ga 0.500 0.000 0.500
Ga4 Ga 0.500 0.500 0.000
Se1 Se 0.000 0.000 0.500
Se2 Se 0.000 0.500 0.000
Se3 Se 0.500 0.000 0.000
Se4 Se 0.500 0.500 0.500
I1 I 0.250 0.250 0.250
I2 I 0.250 0.250 0.750
I3 I 0.250 0.750 0.250
I4 I 0.250 0.750 0.750
I5 I 0.750 0.250 0.250
I6 I 0.750 0.250 0.750
I7 I 0.750 0.750 0.250
I8 I 0.750 0.750 0.750

(2)
# GGA-PBEsol Ga3SiI, relaxed
# - Space group: Pm-3m, No. 221
# - Formation energy (no corrections): 188 meV/atom
# - Electronic total energy: -3.318 eV per atom
# - N(E_F): 2.04 states/eV/f.u.
data_Ga3SiI
_chemical_formula_sum 'Ga3 Si1 I1'
_cell_length_a 4.956
_cell_length_b 4.956
_cell_length_c 4.956
_cell_angle_alpha 90.00
_cell_angle_beta 90.00
_cell_angle_gamma 90.00
_symmetry_space_group_name_H-M 'P 1'
_symmetry_Int_Tables_number 1
loop_
_symmetry_equiv_pos_as_xyz
'x,y,z'
loop_
_atom_site_label
_atom_site_type_symbol
_atom_site_fract_x
_atom_site_fract_y
_atom_site_fract_z
Ga1 Ga 0.000 0.000 0.500
Ga2 Ga 0.000 0.500 0.000
Ga3 Ga 0.500 0.000 0.000
Si1 Si 0.000 0.000 0.000
I1 I 0.500 0.500 0.500

(3)
# GGA-PBEsol GaSiTe2I, relaxed
# - Space group: P4/mmm, No. 123
# - Formation energy (no corrections): 621 meV/atom
# - Electronic total energy: -2.960 eV per atom
# - N(E_F): 4.54 states/eV/f.u.
data_GaSiTe2I
_chemical_formula_sum 'Ga1 Si1 Te2 I1'
_cell_length_a 5.282
_cell_length_b 5.282
_cell_length_c 5.392
_cell_angle_alpha 90.00
_cell_angle_beta 90.00
_cell_angle_gamma 90.00
_symmetry_space_group_name_H-M 'P 1'
_symmetry_Int_Tables_number 1
loop_
_symmetry_equiv_pos_as_xyz
'x,y,z'
loop_
_atom_site_label
_atom_site_type_symbol
_atom_site_fract_x
_atom_site_fract_y
_atom_site_fract_z
Ga1 Ga 0.000 0.000 0.000
Si1 Si 0.500 0.500 0.500
Te1 Te 0.000 0.500 0.000
Te2 Te 0.500 0.000 0.000
I1 I 0.000 0.000 0.500

(4)
# GGA-PBEsol GaSiTeI2, relaxed
# - Space group: P4/mmm, No. 123
# - Formation energy (no corrections): 530 meV/atom
# - Electronic total energy: -2.700 eV per atom
# - N(E_F): 3.59 states/eV/f.u.
data_GaSiTeI2
_chemical_formula_sum 'Ga1 Si1 Te1 I2'
_cell_length_a 5.378
_cell_length_b 5.378
_cell_length_c 5.431
_cell_angle_alpha 90.00
_cell_angle_beta 90.00
_cell_angle_gamma 90.00
_symmetry_space_group_name_H-M 'P 1'
_symmetry_Int_Tables_number 1
loop_
_symmetry_equiv_pos_as_xyz
'x,y,z'
loop_
_atom_site_label
_atom_site_type_symbol
_atom_site_fract_x
_atom_site_fract_y
_atom_site_fract_z
Ga1 Ga 0.000 0.000 0.000
Si1 Si 0.500 0.500 0.500
Te1 Te 0.000 0.000 0.500
I1 I 0.000 0.500 0.000
I2 I 0.500 0.000 0.000

(5)
# GGA-PBEsol Ga2Sn2I, relaxed
# - Space group: I4/mmm, No. 139
# - Formation energy (no corrections): 24 meV/atom
# - Electronic total energy: -3.369 eV per atom
# - N(E_F): 2.34 states/eV/f.u.
data_Ga2Sn2I
_chemical_formula_sum 'Ga4 Sn4 I2'
_cell_length_a 4.796
_cell_length_b 4.796
_cell_length_c 11.402
_cell_angle_alpha 90.00
_cell_angle_beta 90.00
_cell_angle_gamma 90.00
_symmetry_space_group_name_H-M 'P 1'
_symmetry_Int_Tables_number 1
loop_
_symmetry_equiv_pos_as_xyz
'x,y,z'
loop_
_atom_site_label
_atom_site_type_symbol
_atom_site_fract_x
_atom_site_fract_y
_atom_site_fract_z
Ga1 Ga 0.000 0.500 0.250
Ga2 Ga 0.000 0.500 0.750
Ga3 Ga 0.500 0.000 0.250
Ga4 Ga 0.500 0.000 0.750
Sn1 Sn 0.000 0.000 0.124
Sn2 Sn 0.000 0.000 0.876
Sn3 Sn 0.500 0.500 0.376
Sn4 Sn 0.500 0.500 0.624
I1 I 0.000 0.000 0.500
I2 I 0.500 0.500 0.000

(6)
# GGA-PBEsol Ti2GaSnI, relaxed
# - Space group: P4/mmm, No. 123
# - Formation energy (no corrections): 1118 meV/atom
# - Electronic total energy: -4.084 eV per atom
# - N(E_F): 10.00 states/eV/f.u.
data_Ti2GaSnI
_chemical_formula_sum 'Ti2 Ga1 Sn1 I1'
_cell_length_a 5.187
_cell_length_b 5.187
_cell_length_c 5.990
_cell_angle_alpha 90.00
_cell_angle_beta 90.00
_cell_angle_gamma 90.00
_symmetry_space_group_name_H-M 'P 1'
_symmetry_Int_Tables_number 1
loop_
_symmetry_equiv_pos_as_xyz
'x,y,z'
loop_
_atom_site_label
_atom_site_type_symbol
_atom_site_fract_x
_atom_site_fract_y
_atom_site_fract_z
Ti1 Ti 0.000 0.500 0.000
Ti2 Ti 0.500 0.000 0.000
Ga1 Ga 0.000 0.000 0.500
Sn1 Sn 0.500 0.500 0.000
I1 I 0.500 0.500 0.500

(7)
# GGA-PBEsol SrTaGa2I, relaxed
# - Space group: P4/mmm, No. 123
# - Formation energy (no corrections): 415 meV/atom
# - Electronic total energy: -4.152 eV per atom
# - N(E_F): 5.66 states/eV/f.u.
data_SrTaGa2I
_chemical_formula_sum 'Sr1 Ta1 Ga2 I1'
_cell_length_a 4.998
_cell_length_b 4.998
_cell_length_c 6.343
_cell_angle_alpha 90.00
_cell_angle_beta 90.00
_cell_angle_gamma 90.00
_symmetry_space_group_name_H-M 'P 1'
_symmetry_Int_Tables_number 1
loop_
_symmetry_equiv_pos_as_xyz
'x,y,z'
loop_
_atom_site_label
_atom_site_type_symbol
_atom_site_fract_x
_atom_site_fract_y
_atom_site_fract_z
Sr1 Sr 0.000 0.000 0.000
Ta1 Ta 0.000 0.000 0.500
Ga1 Ga 0.000 0.500 0.500
Ga2 Ga 0.500 0.000 0.500
I1 I 0.500 0.500 0.000

(8)
# GGA-PBEsol SrGaTcI2, relaxed
# - Space group: P4/mmm, No. 123
# - Formation energy (no corrections): 850 meV/atom
# - Electronic total energy: -3.146 eV per atom
# - N(E_F): 4.86 states/eV/f.u.
data_SrGaTcI2
_chemical_formula_sum 'Sr1 Ga1 Tc1 I2'
_cell_length_a 6.152
_cell_length_b 6.152
_cell_length_c 5.769
_cell_angle_alpha 90.00
_cell_angle_beta 90.00
_cell_angle_gamma 90.00
_symmetry_space_group_name_H-M 'P 1'
_symmetry_Int_Tables_number 1
loop_
_symmetry_equiv_pos_as_xyz
'x,y,z'
loop_
_atom_site_label
_atom_site_type_symbol
_atom_site_fract_x
_atom_site_fract_y
_atom_site_fract_z
Sr1 Sr 0.000 0.000 0.000
Ga1 Ga 0.500 0.500 0.500
Tc1 Tc 0.000 0.000 0.500
I1 I 0.000 0.500 0.000
I2 I 0.500 0.000 0.000

(9)
# GGA-PBEsol SrGaTe2I, relaxed
# - Space group: P4/mmm, No. 123
# - Formation energy (no corrections): -65 meV/atom
# - Electronic total energy: -2.865 eV per atom
# - Polymorph energy (0 for the lowest one): 554 meV/atom
# - N(E_F): 7.56 states/eV/f.u.
data_SrGaTe2I
_chemical_formula_sum 'Sr1 Ga1 Te2 I1'
_cell_length_a 6.066
_cell_length_b 6.066
_cell_length_c 6.199
_cell_angle_alpha 90.00
_cell_angle_beta 90.00
_cell_angle_gamma 90.00
_symmetry_space_group_name_H-M 'P 1'
_symmetry_Int_Tables_number 1
loop_
_symmetry_equiv_pos_as_xyz
'x,y,z'
loop_
_atom_site_label
_atom_site_type_symbol
_atom_site_fract_x
_atom_site_fract_y
_atom_site_fract_z
Sr1 Sr 0.000 0.000 0.000
Ga1 Ga 0.500 0.500 0.500
Te1 Te 0.000 0.500 0.000
Te2 Te 0.500 0.000 0.000
I1 I 0.000 0.000 0.500

(10)
# GGA-PBEsol SrGaTe2I, relaxed
# - Space group: P4/mmm, No. 123
# - Formation energy (no corrections): -618 meV/atom
# - Electronic total energy: -3.418 eV per atom
# - Polymorph energy (0 for the lowest one): 0 meV/atom
# - N(E_F): 1.95 states/eV/f.u.
data_SrGaTe2I
_chemical_formula_sum 'Sr1 Ga1 Te2 I1'
_cell_length_a 5.360
_cell_length_b 5.360
_cell_length_c 5.737
_cell_angle_alpha 90.00
_cell_angle_beta 90.00
_cell_angle_gamma 90.00
_symmetry_space_group_name_H-M 'P 1'
_symmetry_Int_Tables_number 1
loop_
_symmetry_equiv_pos_as_xyz
'x,y,z'
loop_
_atom_site_label
_atom_site_type_symbol
_atom_site_fract_x
_atom_site_fract_y
_atom_site_fract_z
Sr1 Sr 0.000 0.000 0.000
Ga1 Ga 0.500 0.500 0.500
Te1 Te 0.000 0.500 0.500
Te2 Te 0.500 0.000 0.500
I1 I 0.500 0.500 0.000

(11)
# GGA-PBEsol TaGa3I, relaxed
# - Space group: Pm-3m, No. 221
# - Formation energy (no corrections): 1791 meV/atom
# - Electronic total energy: -3.077 eV per atom
# - N(E_F): 5.88 states/eV/f.u.
data_TaGa3I
_chemical_formula_sum 'Ta1 Ga3 I1'
_cell_length_a 5.324
_cell_length_b 5.324
_cell_length_c 5.324
_cell_angle_alpha 90.00
_cell_angle_beta 90.00
_cell_angle_gamma 90.00
_symmetry_space_group_name_H-M 'P 1'
_symmetry_Int_Tables_number 1
loop_
_symmetry_equiv_pos_as_xyz
'x,y,z'
loop_
_atom_site_label
_atom_site_type_symbol
_atom_site_fract_x
_atom_site_fract_y
_atom_site_fract_z
Ta1 Ta 0.000 0.000 0.000
Ga1 Ga 0.000 0.500 0.500
Ga2 Ga 0.500 0.000 0.500
Ga3 Ga 0.500 0.500 0.000
I1 I 0.500 0.500 0.500

(12)
# GGA-PBEsol TbGaI, relaxed
# - Space group: P-3m1, No. 164
# - Formation energy (no corrections): -1078 meV/atom
# - Electronic total energy: -4.451 eV per atom
# - N(E_F): 0.85 states/eV/f.u.
data_TbGaI
_chemical_formula_sum 'Tb2 Ga2 I2'
_cell_length_a 4.139
_cell_length_b 4.139
_cell_length_c 11.386
_cell_angle_alpha 90.00
_cell_angle_beta 90.00
_cell_angle_gamma 120.00
_symmetry_space_group_name_H-M 'P 1'
_symmetry_Int_Tables_number 1
loop_
_symmetry_equiv_pos_as_xyz
'x,y,z'
loop_
_atom_site_label
_atom_site_type_symbol
_atom_site_fract_x
_atom_site_fract_y
_atom_site_fract_z
Tb1 Tb 0.000 0.000 0.175
Tb2 Tb 0.000 0.000 0.825
Ga1 Ga 0.333 0.667 0.027
Ga2 Ga 0.667 0.333 0.973
I1 I 0.333 0.667 0.652
I2 I 0.667 0.333 0.348